(1)
VASP calculation (GGA-PBE) on a geometry-optimized Cs6Bi3I14 structure.

Summary:
DOS at the Fermi energy: 3.7 states/eV per cell

Unit cell a=6.9502 b=14.4682 c=14.4682 alpha=120.00 beta=90.00 gamma=90.00
With the nearest neighbours (Å) after each atom.
Fractional coordinates of all 23 atoms:
1 Bi 0.8861 0.0000 0.0000  4 I 3.00-3.30
2 Bi 0.3885 0.3333 0.6667  4 I 3.00-3.29
3 Bi 0.5096 0.6667 0.3333  6 I 3.13
4 Cs 0.2570 0.8937 0.6966  8 I 3.93-4.17
5 Cs 0.2570 0.8028 0.1063  8 I 3.93-4.17
6 Cs 0.7655 0.0295 0.4710  8 I 3.94-4.20
7 Cs 0.2570 0.3034 0.1972  8 I 3.93-4.17
8 Cs 0.7655 0.5290 0.5585  8 I 3.94-4.20
9 Cs 0.7655 0.4415 0.9705  8 I 3.94-4.20
10 I 0.2718 0.8763 0.4104  1 Bi 3.13
11 I 0.2718 0.5341 0.1237  1 Bi 3.13
12 I 0.9331 0.0822 0.2346  1 Bi 3.00
13 I 0.7479 0.7982 0.5430  1 Bi 3.13
14 I 0.7479 0.4570 0.2552  1 Bi 3.13
15 I 0.4352 0.1830 0.7512  1 Bi 3.00
16 I 0.4352 0.5682 0.8170  1 Bi 3.00
17 I 0.9331 0.7654 0.8476  1 Bi 3.00
18 I 0.4120 0.0000 0.0000  2 Bi 3.30-3.65
19 I 0.4352 0.2488 0.4318  1 Bi 3.00
20 I 0.9331 0.1524 0.9178  1 Bi 3.00
21 I 0.7479 0.7448 0.2018  1 Bi 3.13
22 I 0.2718 0.5896 0.4659  1 Bi 3.13
23 I 0.9151 0.3333 0.6667  2 Bi 3.29-3.66



(2)
VASP calculation (GGA-PBE) on a geometry-optimized CsBiI3 structure.

Summary:
DOS at the Fermi energy: 0.2 states/eV per cell
polymorph energy (0 for the lowest one): 0 meV per atom

Unit cell a=6.3299 b=6.3299 c=6.3299 alpha=90.00 beta=90.00 gamma=90.00
With the nearest neighbours (Å) after each atom.
Fractional coordinates of all 5 atoms:
1 I 0.0000 0.5000 0.0000  2 Bi 3.16
2 I 0.0000 0.0000 0.5000  2 Bi 3.16
3 I 0.5000 0.0000 0.0000  2 Bi 3.16
4 Bi 0.0000 0.0000 0.0000  6 I 3.16
5 Cs 0.5000 0.5000 0.5000  12 I 4.48



(3)
VASP calculation (GGA-PBE) on a geometry-optimized Cs5Bi2I2 structure.

Summary:
DOS at the Fermi energy: 12.4 states/eV per cell

Unit cell a=10.0191 b=10.0447 c=11.2706 alpha=90.00 beta=63.61 gamma=90.00
With the nearest neighbours (Å) after each atom.
Fractional coordinates of all 18 atoms:
1 Bi 0.8941 0.6059 0.0000  1 Bi 3.00
2 Bi 0.3941 0.8941 0.0000  1 Bi 3.00
3 Bi 0.6059 0.1059 0.0000  1 Bi 3.00
4 Bi 0.1059 0.3941 0.0000  1 Bi 3.00
5 I 0.2964 0.5000 0.4072  7 Cs 3.92-4.11
6 I 0.7036 0.5000 0.5928  7 Cs 3.92-4.11
7 I 0.7964 0.0000 0.4072  7 Cs 3.92-4.11
8 I 0.2036 0.0000 0.5928  7 Cs 3.92-4.11
9 Cs 0.4648 0.1721 0.7229  3 I 3.92-4.02, 3 Bi 4.01-4.20
10 Cs 0.5000 0.5000 0.0000  4 Bi 4.09-4.10, 2 I 4.11
11 Cs 0.6876 0.3279 0.2771  3 I 3.92-4.02, 3 Bi 4.01-4.20
12 Cs 0.9648 0.3279 0.7229  3 I 3.92-4.02, 3 Bi 4.01-4.20
13 Cs 0.3124 0.6721 0.7229  3 I 3.92-4.02, 3 Bi 4.01-4.20
14 Cs 0.0000 0.0000 0.0000  4 Bi 4.09-4.10, 2 I 4.11
15 Cs 0.5352 0.8279 0.2771  3 I 3.92-4.02, 3 Bi 4.01-4.20
16 Cs 0.8124 0.8279 0.7229  3 I 3.92-4.02, 3 Bi 4.01-4.20
17 Cs 0.0352 0.6721 0.2771  3 I 3.92-4.02, 3 Bi 4.01-4.20
18 Cs 0.1876 0.1721 0.2771  3 I 3.92-4.02, 3 Bi 4.01-4.20



(4)
VASP calculation (GGA-PBE) on a geometry-optimized Cs3BiI structure.

Summary:
DOS at the Fermi energy: 4.7 states/eV per cell
polymorph energy (0 for the lowest one): 241 meV per atom

Unit cell a=7.3921 b=7.3921 c=7.3921 alpha=90.00 beta=90.00 gamma=90.00
With the nearest neighbours (Å) after each atom.
Fractional coordinates of all 5 atoms:
1 Cs 0.0000 0.0000 0.5000  2 Bi 3.70
2 Cs 0.0000 0.5000 0.0000  2 Bi 3.70
3 Cs 0.5000 0.0000 0.0000  2 Bi 3.70
4 I 0.5000 0.5000 0.5000  12 Cs 5.23
5 Bi 0.0000 0.0000 0.0000  6 Cs 3.70



(5)
VASP calculation (GGA-PBE) on a geometry-optimized Cs2InBiI6 structure.

Unit cell a=9.0766 b=9.0761 c=8.8575 alpha=59.17 beta=59.18 gamma=60.00
With the nearest neighbours (Å) after each atom.
Fractional coordinates of all 10 atoms:
1 I 0.1354 0.0143 0.2992  1 Bi 3.11, 1 In 3.33
2 I 0.6185 0.0821 0.8021  1 Bi 3.11, 1 In 3.32
3 I 0.4978 0.6186 0.8012  1 Bi 3.11, 1 In 3.33
4 I 0.5508 0.1352 0.2995  1 Bi 3.11, 1 In 3.33
5 I 0.0822 0.4971 0.8017  1 Bi 3.11, 1 In 3.32
6 I 0.0142 0.5513 0.2993  1 Bi 3.11, 1 In 3.33
7 Cs 0.5595 0.5594 0.3213  6 I 3.99-4.28
8 Cs 0.0707 0.0702 0.7880  6 I 3.99-4.33
9 Bi 0.3162 0.3168 0.0510  6 I 3.11
10 In 0.8163 0.8166 0.5517  6 I 3.32-3.33



(6)
VASP calculation (GGA-PBE) on a geometry-optimized Cs2BiIrI6 structure.

Summary:
DOS at the Fermi energy: 4.3 states/eV per cell

Unit cell a=8.3891 b=8.3891 c=8.4034 alpha=60.06 beta=60.06 gamma=90.00
With the nearest neighbours (Å) after each atom.
Fractional coordinates of all 10 atoms:
1 I 0.2677 0.2677 0.0000  1 Ir 2.76
2 I 0.2677 0.7323 0.0000  1 Ir 2.76
3 I 0.7325 0.7325 0.5350  1 Ir 2.77
4 I 0.2675 0.2675 0.4650  1 Ir 2.77
5 I 0.7323 0.7323 0.0000  1 Ir 2.76
6 I 0.7323 0.2677 0.0000  1 Ir 2.76
7 Bi 0.0000 0.0000 0.0000  6 I 3.18
8 Ir 0.5000 0.5000 0.0000  6 I 2.76-2.77
9 Cs 0.2500 0.7500 0.5000  12 I 4.20-4.21
10 Cs 0.7500 0.2500 0.5000  12 I 4.20-4.21



no.,formation energy from raw total energies (eV per atom),calculated total energy (Ry/atom)
1,-0.99,-0.196
2,-0.81,-0.197
3,-0.88,-0.189
4,-0.57,-0.160
5,-0.92,-0.197
6,-0.62,-0.220